# 1
The following is a GGA-PBE calculation of a geometry-optimized NaInGe structure, from Alexandria.

Unit cell a=4.681 b=4.681 c=7.530 alpha=90.00 beta=90.00 gamma=120.00
Fractional positions:
Na1 0.000 0.000 0.761
Na2 0.000 0.000 0.261
Ge1 0.333 0.667 0.440
Ge2 0.667 0.333 0.940
In1 0.333 0.667 0.049
In2 0.667 0.333 0.549

**Crystal system**: hexagonal

***

# 2
The following is a GGA-PBE calculation of a geometry-optimized NaInGe structure, from Alexandria.

Unit cell a=14.712 b=4.662 c=8.452 alpha=73.99 beta=29.51 gamma=90.00
Fractional positions:
Na1 0.866 0.524 0.953
Na2 0.181 0.524 0.953
Na3 0.015 0.015 0.969
Ge1 0.724 0.224 0.552
Ge2 0.469 0.298 0.404
Ge3 0.128 0.298 0.404
In1 0.500 0.500 0.000
In2 0.706 0.027 0.946
In3 0.348 0.027 0.946

**Crystal system**: orthorhombic

***

# 3
The following is a GGA-PBE calculation of a geometry-optimized NaInGe structure, from Alexandria.

Unit cell a=8.868 b=5.286 c=3.644 alpha=90.00 beta=90.00 gamma=90.00
Fractional positions:
Na1 0.250 0.000 0.501
Na2 0.750 0.000 0.499
Ge1 0.250 0.500 0.000
Ge2 0.750 0.500 0.000
In1 0.000 0.500 0.500
In2 0.500 0.500 0.500

**Crystal system**: orthorhombic

***

# 4
The following is a GGA-PBE calculation of a geometry-optimized NaInGe structure, from Alexandria.

Unit cell a=4.485 b=4.485 c=6.027 alpha=68.15 beta=68.15 gamma=60.00
Fractional positions:
Na1 0.328 0.328 0.017
In1 0.516 0.516 0.451
Ge1 0.141 0.141 0.576

**Crystal system**: trigonal

***

Asked for E_tot across the records above, the calculation gives -17.891 -26.196 -16.823 -8.531 eV per cell in order.
Asked for volume across the records above, the calculation gives 23.8 26.3 28.5 31.6 Å³/atom in order.